No. 1
Material: LiIn2
Method: DFT, GGA-PBEsol
State: optimized geometry

Total energy (eV per atom): -2.81
DOS(E_F) (states/eV per atom): 0.383
DFT formation energy (eV per atom): -0.164
SG: Cm, No. 8

Cell lengths 3.307, 5.953, 7.141 Å; angles 100.34, 90.00, 106.13 degrees
Atoms (fractional coordinates):
1 In 0.387 0.774 0.273
2 In 0.326 0.653 0.681
3 In 0.663 0.327 0.341
4 In 0.014 0.028 0.985
5 Li 0.045 0.091 0.595
6 Li 0.731 0.461 0.958


No. 2
Material: Li4In
Method: DFT, GGA-PBEsol
State: optimized geometry

Total energy (eV per atom): -2.11
DOS(E_F) (states/eV per atom): 0.446
DFT formation energy (eV per atom): 0.057
SG: Im-3m, No. 229

Cell lengths 5.500, 5.500, 5.500 Å; angles 109.47, 109.47, 109.47 degrees
Atoms (fractional coordinates):
1 Li 0.500 0.500 0.500
2 Li 0.000 0.000 0.500
3 Li 0.500 0.000 0.000
4 Li 0.000 0.500 0.000
5 In 0.000 0.000 0.000


No. 3
Material: LiIn2
Method: DFT, GGA-PBEsol
State: optimized geometry

Total energy (eV per atom): -2.80
DOS(E_F) (states/eV per atom): 0.382
DFT formation energy (eV per atom): -0.155
SG: P-3m1, No. 164

Cell lengths 3.370, 4.774, 4.774 Å; angles 120.00, 90.00, 90.00 degrees
Atoms (fractional coordinates):
1 Li 0.000 0.000 0.000
2 In 0.653 0.333 0.667
3 In 0.347 0.667 0.333


No. 4
Material: LiIn5
Method: DFT, GGA-PBEsol
State: optimized geometry

Total energy (eV per atom): -2.89
DOS(E_F) (states/eV per atom): 0.420
DFT formation energy (eV per atom): -0.081
SG: Cm, No. 8

Cell lengths 3.307, 6.026, 7.999 Å; angles 109.44, 90.00, 105.93 degrees
Atoms (fractional coordinates):
1 Li 0.720 0.440 0.944
2 In 0.036 0.072 0.612
3 In 0.399 0.797 0.256
4 In 0.009 0.019 0.996
5 In 0.687 0.374 0.337
6 In 0.315 0.630 0.688


No. 5
Material: Li4In5
Method: DFT, GGA-PBEsol
State: optimized geometry

Total energy (eV per atom): -2.75
DOS(E_F) (states/eV per atom): 0.327
DFT formation energy (eV per atom): -0.218
SG: P6_3/mcm, No. 193

Cell lengths 6.072, 8.339, 8.339 Å; angles 120.00, 90.00, 90.00 degrees
Atoms (fractional coordinates):
1 In 0.750 0.696 0.000
2 In 0.250 0.000 0.304
3 In 0.750 0.000 0.696
4 In 0.250 0.696 0.696
5 In 0.750 0.304 0.304
6 In 0.250 0.304 0.000
7 In 0.500 0.333 0.667
8 In 0.000 0.667 0.333
9 In 0.000 0.333 0.667
10 In 0.500 0.667 0.333
11 Li 0.000 0.000 0.000
12 Li 0.250 0.000 0.642
13 Li 0.750 0.358 0.000
14 Li 0.750 0.000 0.358
15 Li 0.750 0.642 0.642
16 Li 0.250 0.642 0.000
17 Li 0.500 0.000 0.000
18 Li 0.250 0.358 0.358


No. 6
Material: Li13In3
Method: DFT, GGA-PBEsol
State: optimized geometry

Total energy (eV per atom): -2.38
DOS(E_F) (states/eV per atom): 0.122
DFT formation energy (eV per atom): -0.222
SG: Fd-3m, No. 227

Cell lengths 9.277, 9.277, 9.277 Å; angles 60.00, 60.00, 60.00 degrees
Atoms (fractional coordinates):
1 In 0.500 0.500 0.500
2 In 0.625 0.125 0.125
3 In 0.125 0.125 0.125
4 In 0.750 0.750 0.750
5 In 0.125 0.625 0.125
6 In 0.125 0.125 0.625
7 Li 0.881 0.358 0.881
8 Li 0.747 0.253 0.253
9 Li 0.250 0.250 0.250
10 Li 0.369 0.892 0.369
11 Li 0.125 0.625 0.625
12 Li 0.625 0.625 0.125
13 Li 0.358 0.881 0.881
14 Li 0.503 0.997 0.997
15 Li 0.747 0.253 0.747
16 Li 0.881 0.881 0.358
17 Li 0.369 0.369 0.892
18 Li 0.747 0.747 0.253
19 Li 0.000 0.000 0.000
20 Li 0.253 0.253 0.747
21 Li 0.503 0.997 0.503
22 Li 0.625 0.625 0.625
23 Li 0.997 0.997 0.503
24 Li 0.253 0.747 0.747
25 Li 0.892 0.369 0.369
26 Li 0.625 0.125 0.625
27 Li 0.369 0.369 0.369
28 Li 0.997 0.503 0.997
29 Li 0.253 0.747 0.253
30 Li 0.997 0.503 0.503
31 Li 0.881 0.881 0.881
32 Li 0.503 0.503 0.997


No. 7
Material: LiIn2
Method: DFT, GGA-PBEsol
State: optimized geometry

Total energy (eV per atom): -2.81
DOS(E_F) (states/eV per atom): 0.511
DFT formation energy (eV per atom): -0.164
SG: I4/mmm, No. 139

Cell lengths 3.767, 3.767, 5.354 Å; angles 110.60, 110.60, 90.00 degrees
Atoms (fractional coordinates):
1 Li 0.000 0.000 0.000
2 In 0.665 0.665 0.331
3 In 0.335 0.335 0.669


No. 8
Material: LiIn2
Method: DFT, GGA-PBEsol
State: optimized geometry

Total energy (eV per atom): -2.81
DOS(E_F) (states/eV per atom): 0.374
DFT formation energy (eV per atom): -0.164
SG: C2/m, No. 12

Cell lengths 3.291, 6.043, 7.415 Å; angles 109.19, 90.00, 105.80 degrees
Atoms (fractional coordinates):
1 In 0.859 0.718 0.475
2 In 0.540 0.080 0.819
3 In 0.460 0.920 0.181
4 In 0.141 0.282 0.525
5 Li 0.806 0.613 0.853
6 Li 0.194 0.387 0.147


No. 9
Material: LiLu2In
Method: DFT, GGA-PBEsol
State: optimized geometry

Total energy (eV per atom): -3.92
DOS(E_F) (states/eV per atom): 0.683
DFT formation energy (eV per atom): -0.250
SG: Fm-3m, No. 225

Cell lengths 5.087, 5.087, 5.087 Å; angles 60.00, 60.00, 60.00 degrees
Atoms (fractional coordinates):
1 Li 0.000 0.000 0.000
2 Lu 0.750 0.750 0.750
3 Lu 0.250 0.250 0.250
4 In 0.500 0.500 0.500


No. 10
Material: LiMg2In
Method: DFT, GGA-PBEsol
State: optimized geometry

Total energy (eV per atom): -2.23
DOS(E_F) (states/eV per atom): 0.390
DFT formation energy (eV per atom): -0.135
SG: Pmm2, No. 25

Cell lengths 3.155, 4.296, 6.191 Å; angles 90.00, 90.00, 90.00 degrees
Atoms (fractional coordinates):
1 Mg 0.000 0.000 0.994
2 Mg 0.500 0.500 0.256
3 In 0.000 0.000 0.508
4 Li 0.500 0.500 0.743


No. 11
Material: LiMg2In
Method: DFT, GGA-PBEsol
State: optimized geometry

Total energy (eV per atom): -2.24
DOS(E_F) (states/eV per atom): 0.293
DFT formation energy (eV per atom): -0.144
SG: P4mm, No. 99

Cell lengths 3.512, 3.512, 6.696 Å; angles 90.00, 90.00, 90.00 degrees
Atoms (fractional coordinates):
1 Mg 0.000 0.000 0.984
2 Mg 0.500 0.500 0.256
3 Li 0.500 0.500 0.742
4 In 0.000 0.000 0.518


No. 12
Material: LiMgIn2
Method: DFT, GGA-PBEsol
State: optimized geometry

Total energy (eV per atom): -2.57
DOS(E_F) (states/eV per atom): 0.392
DFT formation energy (eV per atom): -0.160
SG: C2/m, No. 12

Cell lengths 3.371, 5.132, 5.479 Å; angles 102.83, 90.00, 109.17 degrees
Atoms (fractional coordinates):
1 Li 0.000 0.000 0.500
2 In 0.745 0.490 0.739
3 In 0.255 0.510 0.261
4 Mg 0.500 0.000 0.000